Computed, not measured: a geometry-optimized KTlZn structure at the PBE level of DFT.

a b c (Å): 5.0641 5.0641 4.3579
angles (deg): 90.00 90.00 120.00
Closest atoms and distances in Å follow each position.
Sites, in units of the cell vectors:
K1 0.0000 0.0000 0.9999  6 Zn 3.65, 6 Tl 3.65
Zn1 0.3333 0.6667 0.5002  3 Tl 2.92
Tl1 0.6667 0.3333 0.4999  3 Zn 2.92

- density (g/cm³) = 5.30
- Fermi-level density of states (states/eV per cell) = 1.8
- energy relative to the elements (meV/atom) = 24
- relative energy among the computed polymorphs (meV/atom) = 0.0
- space group = No. 187

Computed, not measured: a geometry-optimized MgZnTc2 structure at the PBE level of DFT.

a b c (Å): 4.5014 2.6591 5.1627
angles (deg): 78.49 90.00 90.00
Closest atoms and distances in Å follow each position.
Sites, in units of the cell vectors:
Tc1 0.0000 0.4794 0.5014  4 Tc 2.61-2.71, 2 Zn 2.73, 2 Mg 2.76
Tc2 0.0000 0.0206 0.9986  4 Tc 2.61-2.71, 2 Zn 2.73, 2 Mg 2.76
Zn1 0.5000 0.2500 0.2500  2 Mg 2.66, 2 Zn 2.66, 4 Tc 2.73
Mg1 0.5000 0.7500 0.7500  2 Zn 2.66, 2 Mg 2.66, 4 Tc 2.76

- density (g/cm³) = 7.84
- Fermi-level density of states (states/eV per cell) = 3.7
- energy relative to the elements (meV/atom) = 187
- relative energy among the computed polymorphs (meV/atom) = 238.1
- space group = No. 10

Computed, not measured: a geometry-optimized NaPmHgRh structure at the PBE level of DFT.

a b c (Å): 5.0405 5.0405 5.0405
angles (deg): 60.00 60.00 60.00
Closest atoms and distances in Å follow each position.
Sites, in units of the cell vectors:
Pm1 0.7500 0.7500 0.7500  4 Hg 3.09, 4 Rh 3.09
Hg1 0.5000 0.5000 0.5000  4 Pm 3.09, 4 Na 3.09
Rh1 0.0000 0.0000 0.0000  4 Na 3.09, 4 Pm 3.09
Na1 0.2500 0.2500 0.2500  4 Hg 3.09, 4 Rh 3.09

- density (g/cm³) = 8.65
- Fermi-level density of states (states/eV per cell) = 2.6
- energy relative to the elements (meV/atom) = -211
- space group = No. 216

Computed, not measured: a geometry-optimized GeHO structure at the PBE level of DFT.

a b c (Å): 4.8984 5.0769 3.4873
angles (deg): 90.00 134.61 90.00
Closest atoms and distances in Å follow each position.
Sites, in units of the cell vectors:
O1 0.8957 0.6697 0.7915  2 Ge 1.89-1.98
Ge1 0.2500 0.5328 0.5000  2 H 1.82-1.83, 2 O 1.89-1.98
O2 0.1043 0.1697 0.2085  2 Ge 1.89-1.98
Ge2 0.7500 0.0328 0.5000  2 H 1.82-1.83, 2 O 1.89-1.98
H1 0.5602 0.3385 0.1205  2 Ge 1.82-1.83
H2 0.4398 0.8385 0.8795  2 Ge 1.82-1.83

- density (g/cm³) = 4.82
- Fermi-level density of states (states/eV per cell) = 0.3
- relative energy among the computed polymorphs (meV/atom) = 257.8
- space group = No. 36

> Which of these has the highest Fermi-level density of states?

MgZnTc2